Here is crystalline Ac2InTe at its relaxed geometry from Alexandria. Energies are from PBE-GGA.

Properties
* ΔE_f (raw): -0.9776 eV/atom
* E above lowest polymorph: 0.000 eV per atom

a = 13.2372 Å, b = 13.2372 Å, c = 4.6649 Å
α = 90.00°, β = 90.00°, γ = 158.63°
Fractional coordinates of all 8 atoms:
Ac 0.0653 0.9347 0.7500
Ac 0.3223 0.6777 0.7500
Ac 0.6777 0.3223 0.2500
Ac 0.9347 0.0653 0.2500
In 0.4611 0.5389 0.7500
In 0.5389 0.4611 0.2500
Te 0.1934 0.8066 0.7500
Te 0.8066 0.1934 0.2500


Here is crystalline KTl2PtI6 at its relaxed geometry from Alexandria. Energies are from PBE-GGA.

Properties
* ΔE_f (raw): -0.5374 eV/atom

a = 17.8320 Å, b = 17.8320 Å, c = 17.8320 Å
α = 25.77°, β = 25.77°, γ = 25.77°
Fractional coordinates of all 20 atoms:
K 0.0826 0.0826 0.0826
K 0.9174 0.9174 0.9174
Tl 0.1842 0.1842 0.1842
Tl 0.3518 0.3518 0.3518
Tl 0.6482 0.6482 0.6482
Tl 0.8158 0.8158 0.8158
Pt 0.0000 0.0000 0.0000
Pt 0.5000 0.5000 0.5000
I 0.1343 0.1343 0.6393
I 0.1343 0.6393 0.1343
I 0.2024 0.6949 0.6949
I 0.3051 0.3051 0.7976
I 0.3051 0.7976 0.3051
I 0.3607 0.8657 0.8657
I 0.6393 0.1343 0.1343
I 0.6949 0.2024 0.6949
I 0.6949 0.6949 0.2024
I 0.7976 0.3051 0.3051
I 0.8657 0.3607 0.8657
I 0.8657 0.8657 0.3607


Here is crystalline CeSbPd at its relaxed geometry from Alexandria. Energies are from PBE-GGA.

Properties
* ΔE_f (raw): -0.9910 eV/atom

a = 4.6578 Å, b = 4.6578 Å, c = 7.6711 Å
α = 90.00°, β = 90.00°, γ = 120.00°
Fractional coordinates of all 6 atoms:
Ce 0.0000 0.0000 0.0000
Ce 0.0000 0.0000 0.5000
Sb 0.3333 0.6667 0.2324
Sb 0.6667 0.3333 0.7324
Pd 0.3333 0.6667 0.8133
Pd 0.6667 0.3333 0.3133


Here is crystalline Zr2CoRe at its relaxed geometry from Alexandria. Energies are from PBE-GGA.

Properties
* formation enthalpy at 0 K: 1.36 eV per formula unit

a = 5.7757 Å, b = 5.7757 Å, c = 5.7757 Å
α = 104.17°, β = 104.17°, γ = 120.68°
Fractional coordinates of all 8 atoms:
Zr 0.1024 0.1250 0.4774
Zr 0.3750 0.8976 0.0226
Zr 0.6476 0.6250 0.5226
Zr 0.8750 0.3524 0.9774
Co 0.0000 0.0000 0.0000
Co 0.7500 0.2500 0.5000
Re 0.2500 0.7500 0.5000
Re 0.5000 0.5000 0.0000


Here is crystalline LaMg6Fe at its relaxed geometry from Alexandria. Energies are from PBE-GGA.

Properties
* E above lowest polymorph: 0.011 eV per atom
* formation enthalpy at 0 K: 1.31 eV per formula unit

a = 4.8577 Å, b = 6.9581 Å, c = 6.9581 Å
α = 53.34°, β = 90.00°, γ = 90.00°
Fractional coordinates of all 8 atoms:
La 0.0000 0.0000 0.0000
Mg 0.0000 0.4403 0.4403
Mg 0.0000 0.4727 0.9735
Mg 0.0000 0.9735 0.4727
Mg 0.5000 0.1048 0.6059
Mg 0.5000 0.6036 0.6036
Mg 0.5000 0.6059 0.1048
Fe 0.5000 0.1594 0.1594


Here is crystalline ZnAgAu2 at its relaxed geometry from Alexandria. Energies are from PBE-GGA.

Properties
* formation enthalpy at 0 K: -0.40 eV per formula unit

a = 5.0686 Å, b = 5.0686 Å, c = 4.9508 Å
α = 103.20°, β = 103.20°, γ = 33.82°
Fractional coordinates of all 4 atoms:
Zn 0.0000 0.0000 0.0000
Ag 0.7411 0.7411 0.2547
Au 0.2647 0.2647 0.7728
Au 0.5027 0.5027 0.4996


Here is crystalline Tc3SbN at its relaxed geometry from Alexandria. Energies are from PBE-GGA.

Properties
* ΔE_f (raw): 3.2103 eV/atom
* E above lowest polymorph: 3.081 eV per atom

a = 4.8338 Å, b = 4.8338 Å, c = 4.8338 Å
α = 90.00°, β = 90.00°, γ = 90.00°
Fractional coordinates of all 5 atoms:
Tc 0.0000 0.0000 0.5000
Tc 0.0000 0.5000 0.0000
Tc 0.5000 0.0000 0.0000
Sb 0.0000 0.0000 0.0000
N 0.5000 0.5000 0.5000


Here is crystalline K3Tl5In2 at its relaxed geometry from Alexandria. Energies are from PBE-GGA.

Properties
* formation enthalpy at 0 K: -0.92 eV per formula unit

a = 12.0721 Å, b = 12.0721 Å, c = 4.7885 Å
α = 90.00°, β = 90.00°, γ = 90.00°
Fractional coordinates of all 20 atoms:
K 0.0000 0.0000 0.0000
K 0.1776 0.3224 0.0000
K 0.3224 0.8224 0.0000
K 0.5000 0.5000 0.0000
K 0.6776 0.1776 0.0000
K 0.8224 0.6776 0.0000
Tl 0.0000 0.5000 0.5000
Tl 0.0588 0.7829 0.5000
Tl 0.2171 0.0588 0.5000
Tl 0.2829 0.5588 0.5000
Tl 0.4412 0.2829 0.5000
Tl 0.5000 0.0000 0.5000
Tl 0.5588 0.7171 0.5000
Tl 0.7171 0.4412 0.5000
Tl 0.7829 0.9412 0.5000
Tl 0.9412 0.2171 0.5000
In 0.1197 0.6197 0.0000
In 0.3803 0.1197 0.0000
In 0.6197 0.8803 0.0000
In 0.8803 0.3803 0.0000


Here is crystalline SiSn2B at its relaxed geometry from Alexandria. Energies are from PBE-GGA.

Properties
* ΔE_f (raw): 1.0062 eV/atom
* E above lowest polymorph: 0.559 eV per atom

a = 4.7582 Å, b = 4.7582 Å, c = 4.7582 Å
α = 60.00°, β = 60.00°, γ = 60.00°
Fractional coordinates of all 4 atoms:
Si 0.0000 0.0000 0.0000
Sn 0.2500 0.2500 0.2500
Sn 0.7500 0.7500 0.7500
B 0.5000 0.5000 0.5000


Here is crystalline Ca2ScIrO6 at its relaxed geometry from Alexandria. Energies are from PBE-GGA.

Properties
* ΔE_f (raw): -2.3881 eV/atom

a = 5.4950 Å, b = 5.6643 Å, c = 9.5743 Å
α = 90.00°, β = 124.75°, γ = 90.00°
Fractional coordinates of all 20 atoms:
Ca 0.2371 0.0541 0.2503
Ca 0.2371 0.4459 0.7503
Ca 0.7629 0.5541 0.2497
Ca 0.7629 0.9459 0.7497
Sc 0.5000 0.0000 0.0000
Sc 0.5000 0.5000 0.5000
Ir 0.0000 0.0000 0.5000
Ir 0.0000 0.5000 0.0000
O 0.1422 0.2108 0.9496
O 0.1422 0.2892 0.4496
O 0.2434 0.6974 0.9516
O 0.2434 0.8026 0.4516
O 0.3371 0.0302 0.7428
O 0.3371 0.4698 0.2428
O 0.6629 0.5302 0.7572
O 0.6629 0.9698 0.2572
O 0.7566 0.1974 0.5484
O 0.7566 0.3026 0.0484
O 0.8578 0.7108 0.5504
O 0.8578 0.7892 0.0504


Here is crystalline TiAlPt6 at its relaxed geometry from Alexandria. Energies are from PBE-GGA.

Properties
* formation enthalpy at 0 K: -6.50 eV per formula unit

a = 3.9354 Å, b = 3.9354 Å, c = 7.8532 Å
α = 90.00°, β = 90.00°, γ = 90.00°
Fractional coordinates of all 8 atoms:
Ti 0.0000 0.0000 0.0000
Al 0.0000 0.0000 0.5000
Pt 0.0000 0.5000 0.2480
Pt 0.0000 0.5000 0.7520
Pt 0.5000 0.0000 0.2480
Pt 0.5000 0.0000 0.7520
Pt 0.5000 0.5000 0.0000
Pt 0.5000 0.5000 0.5000


Here is crystalline CeTm5Pb3 at its relaxed geometry from Alexandria. Energies are from PBE-GGA.

Properties
* formation enthalpy at 0 K: -3.10 eV per formula unit

a = 9.3959 Å, b = 9.3959 Å, c = 6.5146 Å
α = 90.00°, β = 90.00°, γ = 120.00°
Fractional coordinates of all 18 atoms:
Ce 0.0000 0.0000 0.0000
Ce 0.0000 0.0000 0.5000
Tm 0.0000 0.3275 0.2500
Tm 0.0000 0.6725 0.7500
Tm 0.3275 0.0000 0.2500
Tm 0.3275 0.3275 0.7500
Tm 0.3333 0.6667 0.0000
Tm 0.3333 0.6667 0.5000
Tm 0.6667 0.3333 0.0000
Tm 0.6667 0.3333 0.5000
Tm 0.6725 0.0000 0.7500
Tm 0.6725 0.6725 0.2500
Pb 0.0000 0.3397 0.7500
Pb 0.0000 0.6603 0.2500
Pb 0.3397 0.0000 0.7500
Pb 0.3397 0.3397 0.2500
Pb 0.6603 0.0000 0.2500
Pb 0.6603 0.6603 0.7500


Here is crystalline Zn3Co5 at its relaxed geometry from Alexandria. Energies are from PBE-GGA.

Properties
* E above lowest polymorph: 0.000 eV per atom
* formation enthalpy at 0 K: 0.46 eV per formula unit

a = 5.1201 Å, b = 5.1201 Å, c = 3.6175 Å
α = 90.00°, β = 90.00°, γ = 90.79°
Fractional coordinates of all 8 atoms:
Zn 0.0000 0.0000 0.0000
Zn 0.2531 0.7469 0.5000
Zn 0.7469 0.2531 0.5000
Co 0.0000 0.5000 0.0000
Co 0.2565 0.2565 0.5000
Co 0.5000 0.0000 0.0000
Co 0.5000 0.5000 0.0000
Co 0.7435 0.7435 0.5000


Here is crystalline Be3InCl at its relaxed geometry from Alexandria. Energies are from PBE-GGA.

Properties
* ΔE_f (raw): 0.8374 eV/atom
* E above lowest polymorph: 0.000 eV per atom

a = 4.6647 Å, b = 4.6647 Å, c = 4.6647 Å
α = 90.00°, β = 90.00°, γ = 90.00°
Fractional coordinates of all 5 atoms:
Be 0.0000 0.0000 0.5000
Be 0.0000 0.5000 0.0000
Be 0.5000 0.0000 0.0000
In 0.0000 0.0000 0.0000
Cl 0.5000 0.5000 0.5000


Here is crystalline BeFe4B at its relaxed geometry from Alexandria. Energies are from PBE-GGA.

Properties
* formation enthalpy at 0 K: -0.43 eV per formula unit

a = 5.7727 Å, b = 5.7727 Å, c = 5.7727 Å
α = 127.63°, β = 127.63°, γ = 77.22°
Fractional coordinates of all 12 atoms:
Be 0.0000 0.0000 0.0000
Be 0.5000 0.5000 0.0000
Fe 0.0306 0.5306 0.8305
Fe 0.2000 0.0306 0.5000
Fe 0.3000 0.8000 0.8305
Fe 0.4694 0.3000 0.5000
Fe 0.5306 0.7000 0.5000
Fe 0.7000 0.2000 0.1695
Fe 0.8000 0.9694 0.5000
Fe 0.9694 0.4694 0.1695
B 0.2500 0.2500 0.0000
B 0.7500 0.7500 0.0000


Here is crystalline Zn2Sn2S at its relaxed geometry from Alexandria. Energies are from PBE-GGA.

Properties
* ΔE_f (raw): 0.0792 eV/atom

a = 7.7323 Å, b = 7.7323 Å, c = 3.7830 Å
α = 90.00°, β = 90.00°, γ = 90.00°
Fractional coordinates of all 10 atoms:
Zn 0.1148 0.3852 0.0000
Zn 0.3852 0.8852 0.0000
Zn 0.6148 0.1148 0.0000
Zn 0.8852 0.6148 0.0000
Sn 0.1954 0.6954 0.5000
Sn 0.3046 0.1954 0.5000
Sn 0.6954 0.8046 0.5000
Sn 0.8046 0.3046 0.5000
S 0.0000 0.0000 0.5000
S 0.5000 0.5000 0.5000


Here is crystalline LiTl2W at its relaxed geometry from Alexandria. Energies are from PBE-GGA.

Properties
* E above lowest polymorph: 0.014 eV per atom
* formation enthalpy at 0 K: 1.99 eV per formula unit

a = 2.9855 Å, b = 2.9855 Å, c = 9.3785 Å
α = 90.00°, β = 90.00°, γ = 104.57°
Fractional coordinates of all 4 atoms:
Li 0.0000 0.0000 0.0000
Tl 0.5000 0.5000 0.2452
Tl 0.5000 0.5000 0.7548
W 0.0000 0.0000 0.5000


Here is crystalline Tb7Nd6Tm16 at its relaxed geometry from Alexandria. Energies are from PBE-GGA.

Properties
* formation enthalpy at 0 K: 7.02 eV per formula unit

a = 11.1211 Å, b = 11.1211 Å, c = 11.1211 Å
α = 60.00°, β = 60.00°, γ = 60.00°
Fractional coordinates of all 29 atoms:
Tb 0.0000 0.0000 0.0000
Tb 0.0000 0.0000 0.5000
Tb 0.0000 0.5000 0.0000
Tb 0.0000 0.5000 0.5000
Tb 0.5000 0.0000 0.0000
Tb 0.5000 0.0000 0.5000
Tb 0.5000 0.5000 0.0000
Nd 0.2664 0.2664 0.7336
Nd 0.2664 0.7336 0.2664
Nd 0.2664 0.7336 0.7336
Nd 0.7336 0.2664 0.2664
Nd 0.7336 0.2664 0.7336
Nd 0.7336 0.7336 0.2664
Tm 0.0511 0.6496 0.6496
Tm 0.1287 0.1287 0.1287
Tm 0.1287 0.1287 0.6139
Tm 0.1287 0.6139 0.1287
Tm 0.3504 0.3504 0.3504
Tm 0.3504 0.3504 0.9489
Tm 0.3504 0.9489 0.3504
Tm 0.3861 0.8713 0.8713
Tm 0.6139 0.1287 0.1287
Tm 0.6496 0.0511 0.6496
Tm 0.6496 0.6496 0.0511
Tm 0.6496 0.6496 0.6496
Tm 0.8713 0.3861 0.8713
Tm 0.8713 0.8713 0.3861
Tm 0.8713 0.8713 0.8713
Tm 0.9489 0.3504 0.3504


Here is crystalline Pm2NdPuP4 at its relaxed geometry from Alexandria. Energies are from PBE-GGA.

Properties
* formation enthalpy at 0 K: -11.51 eV per formula unit

a = 7.1023 Å, b = 4.1111 Å, c = 7.1041 Å
α = 90.00°, β = 109.48°, γ = 90.00°
Fractional coordinates of all 8 atoms:
Pm 0.0000 0.0000 0.0000
Pm 0.0000 0.5000 0.5000
Nd 0.5000 0.0000 0.5000
Pu 0.5000 0.5000 0.0000
P 0.2530 0.5000 0.2441
P 0.2581 0.0000 0.7596
P 0.7419 0.0000 0.2404
P 0.7470 0.5000 0.7559


Here is crystalline Sm6Er2Tm3Tl at its relaxed geometry from Alexandria. Energies are from PBE-GGA.

Properties
* formation enthalpy at 0 K: -0.10 eV per formula unit

a = 6.1427 Å, b = 6.1427 Å, c = 11.6778 Å
α = 95.06°, β = 95.06°, γ = 120.07°
Fractional coordinates of all 12 atoms:
Sm 0.0830 0.4124 0.7494
Sm 0.2460 0.2460 0.2493
Sm 0.4124 0.0830 0.7494
Sm 0.5876 0.9170 0.2506
Sm 0.7540 0.7540 0.7507
Sm 0.9170 0.5876 0.2506
Er 0.3338 0.6662 0.5000
Er 0.6662 0.3338 0.5000
Tm 0.1674 0.8326 0.0000
Tm 0.5000 0.5000 0.0000
Tm 0.8326 0.1674 0.0000
Tl 0.0000 0.0000 0.5000


Here is crystalline Cs2LiI6N at its relaxed geometry from Alexandria. Energies are from PBE-GGA.

Properties
* ΔE_f (raw): -0.3427 eV/atom

a = 8.0375 Å, b = 8.0375 Å, c = 8.0375 Å
α = 60.00°, β = 60.00°, γ = 60.00°
Fractional coordinates of all 10 atoms:
Cs 0.2500 0.2500 0.2500
Cs 0.7500 0.7500 0.7500
Li 0.0000 0.0000 0.0000
I 0.2679 0.2679 0.7321
I 0.2679 0.7321 0.2679
I 0.2679 0.7321 0.7321
I 0.7321 0.2679 0.2679
I 0.7321 0.2679 0.7321
I 0.7321 0.7321 0.2679
N 0.5000 0.5000 0.5000


Here is crystalline LaCo2Au at its relaxed geometry from Alexandria. Energies are from PBE-GGA.

Properties
* formation enthalpy at 0 K: -0.15 eV per formula unit

a = 4.0378 Å, b = 3.8623 Å, c = 5.1791 Å
α = 90.00°, β = 112.91°, γ = 90.00°
Fractional coordinates of all 4 atoms:
La 0.0000 0.0000 0.0000
Co 0.5978 0.5000 0.1958
Co 0.7146 0.0000 0.4334
Au 0.3003 0.5000 0.6018